(1)
RbBa2Mg | PBE | relaxed

Cell: 6.147 5.938 5.938 Å, 90.00 90.00 90.00°
Element x y z (fractional)
1 Mg 0.500 0.000 0.000
2 Ba 0.000 0.500 0.000
3 Ba 0.000 0.000 0.500
4 Rb 0.500 0.500 0.500

Computed properties:
**Energy of formation from the pure elements**: 0.73 eV/f.u.
**V**: 54.18 Å³/atom
**Total moment**: 0.010 μB/cell
**N(E_F)**: 5.61 states/eV/f.u.
**Space group**: No. 123

---

(2)
RbBaMg2 | PBE | relaxed

Cell: 10.007 10.007 8.056 Å, 51.60 51.60 90.00°
Element x y z (fractional)
1 Rb 0.250 0.750 0.500
2 Ba 0.750 0.250 0.500
3 Mg 0.629 0.125 0.250
4 Mg 0.875 0.879 0.750
5 Mg 0.121 0.625 0.250
6 Ba 0.000 0.000 0.000
7 Rb 0.500 0.500 0.000
8 Mg 0.375 0.371 0.750

Computed properties:
**Energy of formation from the pure elements**: 1.42 eV/f.u.
**V**: 48.19 Å³/atom
**Total moment**: 0.000 μB/cell
**N(E_F)**: 3.89 states/eV/f.u.
**Space group**: No. 122

---

(3)
RbBaMg | PBE | relaxed

Cell: 4.450 4.450 9.011 Å, 104.30 104.30 90.00°
Element x y z (fractional)
1 Ba 0.296 0.296 0.592
2 Mg 0.679 0.679 0.358
3 Rb 0.025 0.025 0.050

Computed properties:
**Energy of formation from the pure elements**: 0.39 eV/f.u.
**V**: 55.73 Å³/atom
**Total moment**: 0.001 μB/cell
**N(E_F)**: 4.35 states/eV/f.u.
**Space group**: No. 107

---

(4)
RbBa2Mg | PBE | relaxed

Cell: 4.437 4.437 11.702 Å, 90.00 90.00 90.00°
Element x y z (fractional)
1 Rb 0.500 0.500 0.500
2 Mg 0.500 0.500 0.000
3 Ba 0.000 0.000 0.823
4 Ba 0.000 0.000 0.177

Computed properties:
**Energy of formation from the pure elements**: 0.05 eV/f.u.
**V**: 57.59 Å³/atom
**Total moment**: 0.000 μB/cell
**N(E_F)**: 3.64 states/eV/f.u.
**Space group**: No. 123

---

(5)
RbBaMg14 | PBE | relaxed

Cell: 6.662 6.662 10.999 Å, 90.00 90.00 118.05°
Element x y z (fractional)
1 Mg 0.305 0.695 0.000
2 Mg 0.139 0.357 0.785
3 Mg 0.640 0.360 0.751
4 Mg 0.820 0.687 0.000
5 Mg 0.904 0.592 0.500
6 Mg 0.139 0.357 0.215
7 Mg 0.801 0.199 0.000
8 Rb 0.906 0.094 0.500
9 Mg 0.643 0.861 0.785
10 Mg 0.148 0.852 0.750
11 Mg 0.148 0.852 0.250
12 Mg 0.408 0.096 0.500
13 Mg 0.313 0.180 0.000
14 Mg 0.640 0.360 0.249
15 Ba 0.404 0.596 0.500
16 Mg 0.643 0.861 0.215

Computed properties:
**Energy of formation from the pure elements**: 2.33 eV/f.u.
**V**: 26.93 Å³/atom
**Total moment**: 0.000 μB/cell
**N(E_F)**: 7.60 states/eV/f.u.
**Space group**: No. 38

---

(6)
RbBa2Mg | PBE | relaxed

Cell: 4.440 4.440 14.018 Å, 80.94 80.94 60.00°
Element x y z (fractional)
1 Mg 0.667 0.667 0.000
2 Ba 0.268 0.268 0.198
3 Rb 0.500 0.500 0.500
4 Ba 0.066 0.066 0.802

Computed properties:
**Energy of formation from the pure elements**: 0.50 eV/f.u.
**V**: 58.83 Å³/atom
**Total moment**: 0.002 μB/cell
**N(E_F)**: 5.75 states/eV/f.u.
**Space group**: No. 8

---

(7)
RbBa2Mg | PBE | relaxed

Cell: 4.363 4.363 14.527 Å, 81.36 81.36 60.00°
Element x y z (fractional)
1 Ba 0.103 0.103 0.692
2 Mg 0.500 0.500 0.500
3 Rb 0.000 0.000 0.000
4 Ba 0.897 0.897 0.308

Computed properties:
**Energy of formation from the pure elements**: 0.62 eV/f.u.
**V**: 58.97 Å³/atom
**Total moment**: 0.002 μB/cell
**N(E_F)**: 5.59 states/eV/f.u.
**Space group**: No. 166

---

(8)
RbBaMg4 | PBE | relaxed

Cell: 6.698 6.698 6.698 Å, 60.00 60.00 60.00°
Element x y z (fractional)
1 Ba 0.250 0.250 0.250
2 Rb 0.000 0.000 0.000
3 Mg 0.624 0.128 0.624
4 Mg 0.624 0.624 0.624
5 Mg 0.128 0.624 0.624
6 Mg 0.624 0.624 0.128

Computed properties:
**Energy of formation from the pure elements**: 0.46 eV/f.u.
**V**: 35.41 Å³/atom
**Total moment**: 0.002 μB/cell
**N(E_F)**: 7.85 states/eV/f.u.
**Space group**: No. 216

---

(9)
RbBaMg2 | PBE | relaxed

Cell: 6.299 6.299 6.299 Å, 60.00 60.00 60.00°
Element x y z (fractional)
1 Mg 0.750 0.750 0.750
2 Rb 0.000 0.000 0.000
3 Ba 0.500 0.500 0.500
4 Mg 0.250 0.250 0.250

Computed properties:
**Energy of formation from the pure elements**: 0.72 eV/f.u.
**V**: 44.18 Å³/atom
**Total moment**: 0.000 μB/cell
**N(E_F)**: 5.49 states/eV/f.u.
**Space group**: No. 225

---

(10)
Rb2BaMg | PBE | relaxed

Cell: 11.722 11.722 9.148 Å, 50.15 50.15 90.00°
Element x y z (fractional)
1 Rb 0.875 0.813 0.750
2 Ba 0.000 0.000 0.000
3 Rb 0.375 0.437 0.750
4 Mg 0.500 0.500 0.000
5 Ba 0.750 0.250 0.500
6 Rb 0.563 0.125 0.250
7 Mg 0.250 0.750 0.500
8 Rb 0.187 0.625 0.250

Computed properties:
**Energy of formation from the pure elements**: 1.16 eV/f.u.
**V**: 66.47 Å³/atom
**Total moment**: 0.006 μB/cell
**N(E_F)**: 5.44 states/eV/f.u.
**Space group**: No. 122

---

(11)
RbBaMg2Re | PBE | relaxed

Cell: 5.482 5.666 5.482 Å, 90.00 90.00 90.00°
Element x y z (fractional)
1 Re 0.000 0.000 0.000
2 Rb 0.500 0.500 0.500
3 Ba 0.000 0.500 0.000
4 Mg 0.500 0.000 0.000
5 Mg 0.000 0.000 0.500

Computed properties:
**Energy of formation from the pure elements**: 3.25 eV/f.u.
**V**: 34.06 Å³/atom
**Total moment**: 0.000 μB/cell
**N(E_F)**: 3.52 states/eV/f.u.
**Space group**: No. 123

---

(12)
RbBaMg2Rh | PBE | relaxed

Cell: 5.378 5.378 5.873 Å, 90.00 90.00 90.00°
Element x y z (fractional)
1 Rh 0.000 0.000 0.000
2 Ba 0.000 0.000 0.500
3 Mg 0.500 0.000 0.000
4 Rb 0.500 0.500 0.500
5 Mg 0.000 0.500 0.000

Computed properties:
**Energy of formation from the pure elements**: -0.25 eV/f.u.
**V**: 33.98 Å³/atom
**Total moment**: 0.000 μB/cell
**N(E_F)**: 3.83 states/eV/f.u.
**Space group**: No. 123

---

(13)
Rb2BaMgSi | PBE | relaxed

Cell: 7.033 4.987 7.033 Å, 90.00 90.00 90.00°
Element x y z (fractional)
1 Rb 0.500 0.000 0.000
2 Si 0.000 0.500 0.000
3 Mg 0.000 0.000 0.000
4 Ba 0.500 0.500 0.500
5 Rb 0.000 0.000 0.500

Computed properties:
**Formation energy (no corrections)**: 0.3858 eV per atom
**V**: 49.33 Å³/atom
**Total moment**: 0.000 μB/cell
**N(E_F)**: 3.31 states/eV/f.u.
**Space group**: No. 123

---

(14)
Rb2BaMgTi | PBE | relaxed

Cell: 7.594 6.403 7.594 Å, 90.00 90.00 90.00°
Element x y z (fractional)
1 Mg 0.000 0.500 0.000
2 Rb 0.000 0.000 0.500
3 Ba 0.000 0.000 0.000
4 Rb 0.500 0.000 0.000
5 Ti 0.500 0.500 0.500

Computed properties:
**Energy of formation from the pure elements**: 7.04 eV/f.u.
**V**: 73.86 Å³/atom
**Total moment**: 3.058 μB/cell
**N(E_F)**: 17.86 states/eV/f.u.
**Space group**: No. 123

---

(15)
RbBaMg2Ti | PBE | relaxed

Cell: 6.136 5.825 6.136 Å, 90.00 90.00 90.00°
Element x y z (fractional)
1 Rb 0.000 0.000 0.000
2 Ba 0.500 0.500 0.500
3 Mg 0.000 0.000 0.500
4 Ti 0.000 0.500 0.000
5 Mg 0.500 0.000 0.000

Computed properties:
**Energy of formation from the pure elements**: 5.90 eV/f.u.
**V**: 43.86 Å³/atom
**Total moment**: 3.088 μB/cell
**N(E_F)**: 5.45 states/eV/f.u.
**Space group**: No. 123

---

(16)
Rb2BaMgW | PBE | relaxed

Cell: 6.694 5.693 6.694 Å, 90.00 90.00 90.00°
Element x y z (fractional)
1 W 0.000 0.500 0.000
2 Mg 0.000 0.000 0.000
3 Rb 0.000 0.000 0.500
4 Ba 0.500 0.500 0.500
5 Rb 0.500 0.000 0.000

Computed properties:
**Energy of formation from the pure elements**: 6.73 eV/f.u.
**V**: 51.02 Å³/atom
**Total moment**: 3.956 μB/cell
**N(E_F)**: 5.12 states/eV/f.u.
**Space group**: No. 123

---

(17)
Ba4MgRe | PBE | relaxed

Cell: 7.100 7.100 7.100 Å, 60.00 60.00 60.00°
Element x y z (fractional)
1 Re 0.000 0.000 0.000
2 Ba 0.374 0.374 0.374
3 Ba 0.374 0.374 0.877
4 Ba 0.877 0.374 0.374
5 Mg 0.750 0.750 0.750
6 Ba 0.374 0.877 0.374

Computed properties:
**Energy of formation from the pure elements**: 7.51 eV/f.u.
**V**: 42.18 Å³/atom
**Total moment**: 1.968 μB/cell
**N(E_F)**: 8.62 states/eV/f.u.
**Space group**: No. 216

---

(18)
BaMgRe2 | PBE | relaxed

Cell: 4.557 2.889 6.949 Å, 89.22 90.00 90.00°
Element x y z (fractional)
1 Ba 0.500 0.250 0.250
2 Re 0.000 0.247 0.914
3 Re 0.000 0.253 0.586
4 Mg 0.500 0.750 0.750

Computed properties:
**Energy of formation from the pure elements**: 3.33 eV/f.u.
**V**: 22.87 Å³/atom
**Total moment**: 0.000 μB/cell
**N(E_F)**: 2.44 states/eV/f.u.
**Space group**: No. 10

---

(19)
BaMg2Re | PBE | relaxed

Cell: 4.989 4.989 7.260 Å, 85.28 85.28 35.35°
Element x y z (fractional)
1 Ba 0.249 0.249 0.286
2 Mg 0.753 0.753 0.713
3 Re 0.491 0.491 0.589
4 Mg 0.007 0.007 0.911

Computed properties:
**Energy of formation from the pure elements**: 2.68 eV/f.u.
**V**: 26.04 Å³/atom
**Total moment**: 0.000 μB/cell
**N(E_F)**: 3.59 states/eV/f.u.
**Space group**: No. 8

---

(20)
BaMgRe2 | PBE | relaxed

Cell: 5.095 4.051 4.051 Å, 90.00 90.00 90.00°
Element x y z (fractional)
1 Re 0.000 0.000 0.000
2 Re 0.000 0.500 0.500
3 Mg 0.500 0.000 0.500
4 Ba 0.500 0.500 0.000

Computed properties:
**Energy of formation from the pure elements**: 5.65 eV/f.u.
**V**: 20.90 Å³/atom
**Total moment**: 0.000 μB/cell
**N(E_F)**: 4.94 states/eV/f.u.
**Space group**: No. 123

---

(21)
BaMg2Re | PBE | relaxed

Cell: 3.781 3.054 8.910 Å, 69.95 90.00 90.00°
Element x y z (fractional)
1 Mg 0.000 0.576 0.424
2 Mg 0.000 0.924 0.076
3 Re 0.500 0.250 0.250
4 Ba 0.500 0.750 0.750

Computed properties:
**Energy of formation from the pure elements**: 2.35 eV/f.u.
**V**: 24.16 Å³/atom
**Total moment**: 0.000 μB/cell
**N(E_F)**: 3.45 states/eV/f.u.
**Space group**: No. 47

---

(22)
BaMgRe2 | PBE | relaxed

Cell: 10.800 10.800 10.800 Å, 15.63 15.63 15.63°
Element x y z (fractional)
1 Re 0.011 0.011 0.011
2 Ba 0.250 0.250 0.250
3 Re 0.489 0.489 0.489
4 Mg 0.750 0.750 0.750

Computed properties:
**Energy of formation from the pure elements**: 4.58 eV/f.u.
**V**: 19.92 Å³/atom
**Total moment**: 0.000 μB/cell
**N(E_F)**: 2.30 states/eV/f.u.
**Space group**: No. 166

---

(23)
BaMg4Re | PBE | relaxed

Cell: 5.873 5.873 5.873 Å, 60.00 60.00 60.00°
Element x y z (fractional)
1 Ba 0.000 0.000 0.000
2 Mg 0.868 0.377 0.377
3 Mg 0.377 0.377 0.377
4 Mg 0.377 0.377 0.868
5 Re 0.750 0.750 0.750
6 Mg 0.377 0.868 0.377

Computed properties:
**Energy of formation from the pure elements**: 3.53 eV/f.u.
**V**: 23.87 Å³/atom
**Total moment**: 2.542 μB/cell
**N(E_F)**: 3.26 states/eV/f.u.
**Space group**: No. 216

---

(24)
BaMgRe2 | PBE | relaxed

Cell: 5.531 5.942 2.857 Å, 81.08 79.42 114.92°
Element x y z (fractional)
1 Mg 0.500 0.500 0.000
2 Re 0.000 0.000 0.000
3 Re 0.500 0.000 0.500
4 Ba 0.000 0.500 0.500

Computed properties:
**Energy of formation from the pure elements**: 5.07 eV/f.u.
**V**: 20.20 Å³/atom
**Total moment**: 0.001 μB/cell
**N(E_F)**: 4.01 states/eV/f.u.
**Space group**: No. 12

---

(25)
BaMg2Re | PBE | relaxed

Cell: 5.108 5.108 6.655 Å, 84.60 84.60 34.06°
Element x y z (fractional)
1 Mg 0.485 0.485 0.572
2 Ba 0.250 0.250 0.250
3 Mg 0.015 0.015 0.928
4 Re 0.750 0.750 0.750

Computed properties:
**Energy of formation from the pure elements**: 2.65 eV/f.u.
**V**: 24.20 Å³/atom
**Total moment**: 0.000 μB/cell
**N(E_F)**: 3.01 states/eV/f.u.
**Space group**: No. 12

---

(26)
BaMgRe2 | PBE | relaxed

Cell: 3.584 3.584 7.212 Å, 90.00 90.00 90.00°
Element x y z (fractional)
1 Mg 0.500 0.500 0.750
2 Re 0.000 0.000 0.592
3 Re 0.000 0.000 0.908
4 Ba 0.500 0.500 0.250

Computed properties:
**Energy of formation from the pure elements**: 3.76 eV/f.u.
**V**: 23.15 Å³/atom
**Total moment**: 0.000 μB/cell
**N(E_F)**: 4.10 states/eV/f.u.
**Space group**: No. 123

---

(27)
BaMgRe2 | PBE | relaxed

Cell: 2.823 2.823 10.160 Å, 90.00 90.00 90.00°
Element x y z (fractional)
1 Re 0.000 0.000 0.537
2 Ba 0.500 0.500 0.250
3 Re 0.000 0.000 0.963
4 Mg 0.500 0.500 0.750

Computed properties:
**Energy of formation from the pure elements**: 4.47 eV/f.u.
**V**: 20.24 Å³/atom
**Total moment**: 0.001 μB/cell
**N(E_F)**: 3.21 states/eV/f.u.
**Space group**: No. 123

---

(28)
BaMgRe2 | PBE | relaxed

Cell: 2.830 2.830 10.213 Å, 90.00 90.00 102.59°
Element x y z (fractional)
1 Re 0.000 0.000 0.535
2 Re 0.000 0.000 0.965
3 Mg 0.500 0.500 0.750
4 Ba 0.500 0.500 0.250

Computed properties:
**Energy of formation from the pure elements**: 4.40 eV/f.u.
**V**: 19.95 Å³/atom
**Total moment**: 0.000 μB/cell
**N(E_F)**: 2.76 states/eV/f.u.
**Space group**: No. 65

---

(29)
BaMgRe2 | PBE | relaxed

Cell: 5.768 5.768 5.768 Å, 138.53 138.53 60.09°
Element x y z (fractional)
1 Mg 0.750 0.250 0.500
2 Ba 0.250 0.750 0.500
3 Re 0.500 0.500 0.000
4 Re 0.000 0.000 0.000

Computed properties:
**Energy of formation from the pure elements**: 5.70 eV/f.u.
**V**: 20.82 Å³/atom
**Total moment**: 0.000 μB/cell
**N(E_F)**: 4.13 states/eV/f.u.
**Space group**: No. 139

---

no.,final energy (eV/atom)
1,-1.4182
2,-1.1656
3,-1.3666
4,-1.5883
5,-1.4301
6,-1.4761
7,-1.4473
8,-1.4679
9,-1.3399
10,-1.0729
11,-3.0564
12,-2.7362
13,-1.7893
14,-1.2622
15,-1.6144
16,-2.3346
17,-2.3702
18,-6.2697
19,-3.7202
20,-5.6919
21,-3.8018
22,-5.9593
23,-2.8696
24,-5.8351
25,-3.7273
26,-6.1634
27,-5.9852
28,-6.0030
29,-5.6777